(1)
PBE-GGA Sb8P, relaxed; space group = I4/mmm, No. 139; formation energy (no corrections) = 0.286 eV per atom; crystal system = tetragonal
1.0
-5.632 5.632 1.931
5.632 -5.632 1.931
5.632 5.632 -1.931
Sb P
8 1
Direct
0.000 0.342 0.342
0.000 0.658 0.658
0.342 0.000 0.342
0.361 0.361 0.723
0.361 0.639 0.000
0.639 0.361 0.000
0.639 0.639 0.277
0.658 0.000 0.658
0.000 0.000 0.000

(2)
PBE-GGA CeAgPO, relaxed; space group = P4/nmm, No. 129; formation energy (no corrections) = -1.702 eV per atom; crystal system = tetragonal
1.0
3.974 0.000 0.000
0.000 3.974 0.000
0.000 0.000 8.647
Ce Ag P O
2 2 2 2
Direct
0.250 0.250 0.145
0.750 0.750 0.855
0.250 0.750 0.500
0.750 0.250 0.500
0.250 0.250 0.700
0.750 0.750 0.300
0.250 0.750 0.000
0.750 0.250 0.000